[1]
Here is a geometry-optimized Er2InSe structure from the Alexandria database. Energies are from PBE.

a = 3.8543 Å, b = 3.8543 Å, c = 8.3567 Å
α = 76.67°, β = 76.67°, γ = 60.00°
Sites, in units of the cell vectors:
1 In 0.5000 0.5000 0.5000
2 Se 0.0000 0.0000 0.0000
3 Er 0.2607 0.2607 0.2180
4 Er 0.7393 0.7393 0.7820

Properties
SG = R-3m, No. 166
Energy relative to the elements, uncorrected = -1052.3 meV/atom
ΔE to the lowest computed polymorph = 0.014 eV per atom
DOS(E_F) = 1.51 states/eV per cell
Crystal system = trigonal
Final energy = -4.890 eV per atom

***

[2]
Here is a geometry-optimized Er2InSe structure from the Alexandria database. Energies are from PBE.

a = 3.4754 Å, b = 3.4754 Å, c = 7.9939 Å
α = 90.00°, β = 90.00°, γ = 90.00°
Sites, in units of the cell vectors:
1 In 0.5000 0.5000 0.5000
2 Se 0.5000 0.5000 0.0000
3 Er 0.0000 0.0000 0.7729
4 Er 0.0000 0.0000 0.2271

Properties
SG = P4/mmm, No. 123
Energy relative to the elements, uncorrected = -894.0 meV/atom
ΔE to the lowest computed polymorph = 0.172 eV per atom
DOS(E_F) = 2.91 states/eV per cell
Crystal system = tetragonal
Final energy = -4.731 eV per atom

***

[3]
Here is a geometry-optimized Er2InSe structure from the Alexandria database. Energies are from PBE.

a = 3.8270 Å, b = 3.8270 Å, c = 8.5323 Å
α = 77.04°, β = 77.04°, γ = 60.00°
Sites, in units of the cell vectors:
1 Er 0.0710 0.0710 0.7870
2 Er 0.2620 0.2620 0.2141
3 In 0.4996 0.4996 0.5011
4 Se 0.6674 0.6674 0.9977

Properties
SG = R3m, No. 160
Energy relative to the elements, uncorrected = -1004.3 meV/atom
ΔE to the lowest computed polymorph = 0.062 eV per atom
DOS(E_F) = 2.31 states/eV per cell
Crystal system = trigonal
Final energy = -4.841 eV per atom

***

[4]
Here is a geometry-optimized ErIn6Se8 structure from the Alexandria database. Energies are from PBE.

a = 7.5433 Å, b = 7.5433 Å, c = 7.5433 Å
α = 88.40°, β = 88.40°, γ = 88.40°
Sites, in units of the cell vectors:
1 Er 0.0000 0.0000 0.0000
2 In 0.6176 0.3839 0.8902
3 In 0.3839 0.8902 0.6176
4 In 0.8902 0.6176 0.3839
5 In 0.3824 0.6161 0.1098
6 In 0.6161 0.1098 0.3824
7 In 0.1098 0.3824 0.6161
8 Se 0.6720 0.6720 0.6720
9 Se 0.3280 0.3280 0.3280
10 Se 0.6931 0.8289 0.1548
11 Se 0.8289 0.1548 0.6931
12 Se 0.1548 0.6931 0.8289
13 Se 0.3069 0.1711 0.8452
14 Se 0.1711 0.8452 0.3069
15 Se 0.8452 0.3069 0.1711

Properties
SG = R-3, No. 148
Energy relative to the elements, uncorrected = -585.3 meV/atom
DOS(E_F) = 7.13 states/eV per cell
Crystal system = trigonal
Final energy = -3.843 eV per atom

***

[5]
Here is a geometry-optimized ErInSe2 structure from the Alexandria database. Energies are from PBE.

a = 4.0956 Å, b = 4.0956 Å, c = 8.2143 Å
α = 75.56°, β = 75.56°, γ = 60.00°
Sites, in units of the cell vectors:
1 Er 0.6670 0.6670 0.9989
2 In 0.4984 0.4984 0.5048
3 Se 0.0688 0.0688 0.7936
4 Se 0.2658 0.2658 0.2027

Properties
SG = R3m, No. 160
Energy relative to the elements, uncorrected = -1279.5 meV/atom
Crystal system = trigonal
Final energy = -4.847 eV per atom

***

[6]
Here is a geometry-optimized Er6InSe3 structure from the Alexandria database. Energies are from PBE.

a = 3.8748 Å, b = 11.8018 Å, c = 12.0151 Å
α = 107.08°, β = 90.00°, γ = 90.00°
Sites, in units of the cell vectors:
1 Er 0.7500 0.5000 0.6463
2 Er 0.2500 0.5000 0.3537
3 Er 0.7500 0.9184 0.0936
4 Er 0.2500 0.0816 0.9064
5 Er 0.7500 0.3821 0.0760
6 Er 0.2500 0.6179 0.9240
7 Er 0.7500 0.7243 0.2657
8 Er 0.2500 0.2757 0.7343
9 Er 0.7500 0.1348 0.4746
10 Er 0.2500 0.8652 0.5254
11 Er 0.7500 0.7975 0.7468
12 Er 0.2500 0.2025 0.2532
13 In 0.7500 0.0498 0.6949
14 In 0.2500 0.9502 0.3051
15 Se 0.7500 0.4358 0.8574
16 Se 0.2500 0.5642 0.1426
17 Se 0.7500 0.6647 0.4939
18 Se 0.2500 0.3353 0.5061
19 Se 0.7500 0.1465 0.0780
20 Se 0.2500 0.8535 0.9220

Properties
SG = P2_1/m, No. 11
Energy relative to the elements, uncorrected = -1042.9 meV/atom
DOS(E_F) = 13.78 states/eV per cell
Crystal system = monoclinic
Final energy = -5.100 eV per atom

***

Number 1: total magnetic moment 0.0 Bohr magnetons per cell, V 103.6 Å³/f.u.. Number 2: total magnetic moment 0.0 Bohr magnetons per cell, V 96.6 Å³/f.u.. Number 3: total magnetic moment 0.0 Bohr magnetons per cell, V 104.5 Å³/f.u.. Number 4: total magnetic moment 0.0 Bohr magnetons per cell, V 428.7 Å³/f.u.. Number 5: total magnetic moment 0.0 Bohr magnetons per cell, V 114.3 Å³/f.u.. Number 6: total magnetic moment 1.1 Bohr magnetons per cell, V 262.6 Å³/f.u..